The following is a DFT calculation (SCAN) of a crystal of Pm2GeAu relaxed with PBEsol.

a b c (Å): 7.251 7.251 7.251
angles (deg): 90.00 90.00 90.00
Space group Fm-3m (No. 225)
Symmetry-distinct sites (fractional):
1 Pm 0.250 0.250 0.250 [8 per cell]
2 Ge 0.000 0.000 0.000 [4 per cell]
3 Au 0.000 0.000 0.500 [4 per cell]

## Properties
Its density of states at the Fermi level is 0.455 states/eV per atom. The value obtained for the spin magnetization is 0.238 μB per atom. Its energy of formation from the pure elements is -0.8835 eV per atom. The total energy is -719.000 eV/cell.